# 1
DFT (GGA-PBE) results for crystalline Ta2TlNi at its relaxed geometry.

```
data_Ta2TlNi
_cell_length_a 3.9578
_cell_length_b 3.9578
_cell_length_c 4.4166
_cell_angle_alpha 90.00
_cell_angle_beta 90.00
_cell_angle_gamma 90.00
_symmetry_space_group_name_H-M 'P 4/m m m'
_symmetry_Int_Tables_number 123
_symmetry_space_group_name_Hall '-P 4 2'
loop_
_atom_site_label
_atom_site_type_symbol
_atom_site_fract_x
_atom_site_fract_y
_atom_site_fract_z
_atom_site_occupancy
Ta1 Ta 0.0000 0.5000 0.0000 1
Tl1 Tl 0.0000 0.0000 0.5000 1
Ni1 Ni 0.5000 0.5000 0.5000 1
```

Properties
Formation energy = 1.2 eV/f.u.
ΔE to the lowest computed polymorph = 6.5 kJ per mole of atoms
ρ = 15.00 g/cm3
Raw total energy = -0.28200 hartree per atom

---

# 2
DFT (GGA-PBE) results for crystalline Ta2TlNi at its relaxed geometry.

```
data_Ta2TlNi
_cell_length_a 3.5386
_cell_length_b 4.3418
_cell_length_c 9.0241
_cell_angle_alpha 90.00
_cell_angle_beta 90.00
_cell_angle_gamma 90.00
_symmetry_space_group_name_H-M 'I m m m'
_symmetry_Int_Tables_number 71
_symmetry_space_group_name_Hall '-I 2 2'
loop_
_atom_site_label
_atom_site_type_symbol
_atom_site_fract_x
_atom_site_fract_y
_atom_site_fract_z
_atom_site_occupancy
Ta1 Ta 0.0000 0.0000 0.2360 1
Tl1 Tl 0.0000 0.5000 0.0000 1
Ni1 Ni 0.0000 0.5000 0.5000 1
```

Properties
Formation energy = 1.1 eV/f.u.
ΔE to the lowest computed polymorph = 4.4 kJ per mole of atoms
ρ = 14.97 g/cm3
Raw total energy = -0.28283 hartree per atom

---

# 3
DFT (GGA-PBE) results for crystalline TaTlNi at its relaxed geometry.

```
data_TaTlNi
_cell_length_a 6.0459
_cell_length_b 6.0459
_cell_length_c 6.0459
_cell_angle_alpha 90.00
_cell_angle_beta 90.00
_cell_angle_gamma 90.00
_symmetry_space_group_name_H-M 'F -4 3 m'
_symmetry_Int_Tables_number 216
_symmetry_space_group_name_Hall 'F -4 2 3'
loop_
_atom_site_label
_atom_site_type_symbol
_atom_site_fract_x
_atom_site_fract_y
_atom_site_fract_z
_atom_site_occupancy
Ta1 Ta 0.0000 0.0000 0.0000 1
Tl1 Tl 0.0000 0.0000 0.5000 1
Ni1 Ni 0.2500 0.2500 0.7500 1
```

Properties
Formation energy = 0.7 eV/f.u.
ρ = 13.35 g/cm3
Raw total energy = -0.23621 hartree per atom

---

# 4
DFT (GGA-PBE) results for crystalline Ta2TlNi at its relaxed geometry.

```
data_Ta2TlNi
_cell_length_a 3.1359
_cell_length_b 3.1359
_cell_length_c 26.2011
_cell_angle_alpha 90.00
_cell_angle_beta 90.00
_cell_angle_gamma 120.00
_symmetry_space_group_name_H-M 'R 3 m'
_symmetry_Int_Tables_number 160
_symmetry_space_group_name_Hall 'R 3 -2"'
loop_
_atom_site_label
_atom_site_type_symbol
_atom_site_fract_x
_atom_site_fract_y
_atom_site_fract_z
_atom_site_occupancy
Ta1 Ta 0.0000 0.0000 0.0000 1
Ta2 Ta 0.0000 0.0000 0.2472 1
Tl1 Tl 0.0000 0.0000 0.7635 1
Ni1 Ni 0.0000 0.0000 0.5132 1
```

Properties
Formation energy = 1.3 eV/f.u.
ΔE to the lowest computed polymorph = 10.3 kJ per mole of atoms
ρ = 13.95 g/cm3
Raw total energy = -0.28057 hartree per atom

---

Please write out number 2 again, unchanged.
DFT (GGA-PBE) results for crystalline Ta2TlNi at its relaxed geometry.

```
data_Ta2TlNi
_cell_length_a 3.5386
_cell_length_b 4.3418
_cell_length_c 9.0241
_cell_angle_alpha 90.00
_cell_angle_beta 90.00
_cell_angle_gamma 90.00
_symmetry_space_group_name_H-M 'I m m m'
_symmetry_Int_Tables_number 71
_symmetry_space_group_name_Hall '-I 2 2'
loop_
_atom_site_label
_atom_site_type_symbol
_atom_site_fract_x
_atom_site_fract_y
_atom_site_fract_z
_atom_site_occupancy
Ta1 Ta 0.0000 0.0000 0.2360 1
Tl1 Tl 0.0000 0.5000 0.0000 1
Ni1 Ni 0.0000 0.5000 0.5000 1
```

Properties
Formation energy = 1.1 eV/f.u.
ΔE to the lowest computed polymorph = 4.4 kJ per mole of atoms
ρ = 14.97 g/cm3
Raw total energy = -0.28283 hartree per atom

---

Please write out number 3 again, unchanged.
DFT (GGA-PBE) results for crystalline TaTlNi at its relaxed geometry.

```
data_TaTlNi
_cell_length_a 6.0459
_cell_length_b 6.0459
_cell_length_c 6.0459
_cell_angle_alpha 90.00
_cell_angle_beta 90.00
_cell_angle_gamma 90.00
_symmetry_space_group_name_H-M 'F -4 3 m'
_symmetry_Int_Tables_number 216
_symmetry_space_group_name_Hall 'F -4 2 3'
loop_
_atom_site_label
_atom_site_type_symbol
_atom_site_fract_x
_atom_site_fract_y
_atom_site_fract_z
_atom_site_occupancy
Ta1 Ta 0.0000 0.0000 0.0000 1
Tl1 Tl 0.0000 0.0000 0.5000 1
Ni1 Ni 0.2500 0.2500 0.7500 1
```

Properties
Formation energy = 0.7 eV/f.u.
ρ = 13.35 g/cm3
Raw total energy = -0.23621 hartree per atom

---

Please write out number 2 again, unchanged.
DFT (GGA-PBE) results for crystalline Ta2TlNi at its relaxed geometry.

```
data_Ta2TlNi
_cell_length_a 3.5386
_cell_length_b 4.3418
_cell_length_c 9.0241
_cell_angle_alpha 90.00
_cell_angle_beta 90.00
_cell_angle_gamma 90.00
_symmetry_space_group_name_H-M 'I m m m'
_symmetry_Int_Tables_number 71
_symmetry_space_group_name_Hall '-I 2 2'
loop_
_atom_site_label
_atom_site_type_symbol
_atom_site_fract_x
_atom_site_fract_y
_atom_site_fract_z
_atom_site_occupancy
Ta1 Ta 0.0000 0.0000 0.2360 1
Tl1 Tl 0.0000 0.5000 0.0000 1
Ni1 Ni 0.0000 0.5000 0.5000 1
```

Properties
Formation energy = 1.1 eV/f.u.
ΔE to the lowest computed polymorph = 4.4 kJ per mole of atoms
ρ = 14.97 g/cm3
Raw total energy = -0.28283 hartree per atom

---

> Which value of ρ does entry 3 give?

13.35 g/cm3